Computed, not measured: Rb2Pb2WO6 after structural relaxation at the PBE with a Hubbard U level of DFT.

Geometry as extended XYZ:
```
11
Lattice="6.061 0.194 0.093 -2.827 5.364 0.093 -1.120 -1.925 6.491" Properties=species:S:1:pos:R:3 pbc="T T T"
Rb 4.493 1.106 0.093
Rb -1.259 4.452 0.093
Pb -0.400 2.664 3.338
Pb 2.513 0.969 3.338
W -0.560 -0.963 3.245
O 1.876 3.224 4.576
O -1.385 0.476 4.362
O 0.238 0.409 2.099
O 1.098 -0.969 4.362
O 3.498 3.157 2.314
O 1.015 4.601 2.314
```

* theoretical density: 6.6 Mg/m³
* space group: C2/m, No. 12
* final energy: -5.80 eV/atom